DFT (PBE) results for an optimized crystal structure of CaEuGe.

Results
- D(E_F) (states/eV per atom) = 3.714
- SG = F-43m (216)
- magnetic moment (μB per atom) = 2.334
- electronic total energy (eV for the cell shown) = -18.6

Unit cell a=5.165 b=5.165 c=5.165 alpha=60.00 beta=60.00 gamma=60.00
Positions (direct):
Eu: 0.500 0.500 0.500
Ge: 0.250 0.250 0.250
Ca: 0.000 0.000 0.000

***

DFT (PBE) results for an optimized crystal structure of CeTh2Re.

Results
- D(E_F) (states/eV per atom) = 1.693
- SG = Pnma (62)
- magnetic moment (μB per atom) = 0.000
- electronic total energy (eV for the cell shown) = -132.9

Unit cell a=6.404 b=7.296 c=9.639 alpha=90.00 beta=90.00 gamma=90.00
Positions (direct):
Ce: 0.653 0.543 0.250
Ce: 0.847 0.043 0.250
Ce: 0.347 0.457 0.750
Ce: 0.153 0.957 0.750
Th: 0.162 0.676 0.060
Th: 0.338 0.176 0.440
Th: 0.838 0.324 0.560
Th: 0.662 0.824 0.940
Th: 0.838 0.324 0.940
Th: 0.662 0.824 0.560
Th: 0.162 0.676 0.440
Th: 0.338 0.176 0.060
Re: 0.053 0.373 0.250
Re: 0.447 0.873 0.250
Re: 0.947 0.627 0.750
Re: 0.553 0.127 0.750

***

DFT (PBE) results for an optimized crystal structure of Cu5Pd4Rh.

Results
- D(E_F) (states/eV per atom) = 1.277
- SG = C2/m (12)
- magnetic moment (μB per atom) = 0.000
- electronic total energy (eV for the cell shown) = -46.6

Unit cell a=3.607 b=7.771 c=6.955 alpha=122.87 beta=105.03 gamma=90.00
Positions (direct):
Cu: 0.833 0.339 0.666
Cu: 0.827 0.829 0.655
Cu: 0.173 0.171 0.345
Cu: 0.500 0.500 0.000
Cu: 0.167 0.661 0.334
Pd: 0.339 0.589 0.678
Pd: 0.023 0.769 0.046
Pd: 0.661 0.411 0.322
Pd: 0.977 0.231 0.954
Rh: 0.500 0.000 0.000

***

DFT (PBE) results for an optimized crystal structure of BaTi3Mn.

Results
- D(E_F) (states/eV per atom) = 1.672
- SG = Pm-3m (221)
- magnetic moment (μB per atom) = 0.282
- electronic total energy (eV for the cell shown) = -23.0

Unit cell a=4.907 b=4.907 c=4.907 alpha=90.00 beta=90.00 gamma=90.00
Positions (direct):
Mn: 0.500 0.500 0.500
Ba: 0.000 0.000 0.000
Ti: 0.000 0.500 0.000
Ti: 0.000 0.000 0.500
Ti: 0.500 0.000 0.000

***

DFT (PBE) results for an optimized crystal structure of TbPrPu4.

Results
- D(E_F) (states/eV per atom) = 4.740
- SG = F-43m (216)
- magnetic moment (μB per atom) = 3.795
- electronic total energy (eV for the cell shown) = -65.3

Unit cell a=6.214 b=6.214 c=6.214 alpha=60.00 beta=60.00 gamma=60.00
Positions (direct):
Pr: 0.250 0.250 0.250
Tb: 0.000 0.000 0.000
Pu: 0.625 0.625 0.125
Pu: 0.625 0.125 0.625
Pu: 0.625 0.625 0.625
Pu: 0.125 0.625 0.625

***

DFT (PBE) results for an optimized crystal structure of Ti8Cu2Sn.

Results
- D(E_F) (states/eV per atom) = 1.070
- SG = C2/m (12)
- magnetic moment (μB per atom) = 0.000
- electronic total energy (eV for the cell shown) = -75.1

Unit cell a=4.516 b=7.109 c=7.109 alpha=117.71 beta=100.11 gamma=100.11
Positions (direct):
Ti: 0.895 0.911 0.682
Ti: 0.895 0.682 0.911
Ti: 0.300 0.590 0.590
Ti: 0.500 0.768 0.232
Ti: 0.500 0.232 0.768
Ti: 0.700 0.410 0.410
Ti: 0.105 0.318 0.089
Ti: 0.105 0.089 0.318
Cu: 0.000 0.308 0.692
Cu: 0.000 0.692 0.308
Sn: 0.500 0.000 0.000

***

DFT (PBE) results for an optimized crystal structure of Mn2BeTe.

Results
- D(E_F) (states/eV per atom) = 0.765
- SG = I-4m2 (119)
- uncorrected formation energy (eV/atom) = 0.313
- magnetic moment (μB per atom) = 1.319

Unit cell a=4.822 b=4.822 c=3.720 alpha=67.32 beta=67.32 gamma=45.34
Positions (direct):
Be: 0.250 0.250 0.250
Te: 0.500 0.500 0.500
Mn: 0.000 0.000 0.000
Mn: 0.750 0.750 0.750

***

DFT (PBE) results for an optimized crystal structure of NaZrAu2.

Results
- D(E_F) (states/eV per atom) = 0.754
- SG = Fm-3m (225)
- magnetic moment (μB per atom) = 0.000
- electronic total energy (eV for the cell shown) = -17.7

Unit cell a=4.820 b=4.820 c=4.820 alpha=60.00 beta=60.00 gamma=60.00
Positions (direct):
Na: 0.000 0.000 0.000
Au: 0.250 0.250 0.250
Au: 0.750 0.750 0.750
Zr: 0.500 0.500 0.500

***

DFT (PBE) results for an optimized crystal structure of Tb3DyGe4.

Results
- D(E_F) (states/eV per atom) = 0.818
- SG = Immm (71)
- magnetic moment (μB per atom) = 0.000
- electronic total energy (eV for the cell shown) = -42.3

Unit cell a=4.017 b=6.388 c=8.762 alpha=111.38 beta=103.25 gamma=90.00
Positions (direct):
Tb: 0.000 0.500 0.000
Tb: 0.196 0.196 0.392
Tb: 0.804 0.804 0.608
Dy: 0.500 0.000 0.000
Ge: 0.369 0.562 0.738
Ge: 0.631 0.438 0.262
Ge: 0.631 0.824 0.262
Ge: 0.369 0.176 0.738

***

DFT (PBE) results for an optimized crystal structure of PrGa2.

Results
- D(E_F) (states/eV per atom) = 0.625
- SG = I4_1/amd (141)
- magnetic moment (μB per atom) = 0.000
- electronic total energy (eV for the cell shown) = -25.8

Unit cell a=4.309 b=4.309 c=8.078 alpha=105.47 beta=105.47 gamma=90.00
Positions (direct):
Pr: 0.750 0.250 0.500
Pr: 0.000 0.000 0.000
Ga: 0.167 0.667 0.334
Ga: 0.583 0.583 0.166
Ga: 0.333 0.833 0.666
Ga: 0.417 0.417 0.834

***

DFT (PBE) results for an optimized crystal structure of Sm2DyNi.

Results
- D(E_F) (states/eV per atom) = 1.240
- SG = R3m (160)
- magnetic moment (μB per atom) = 0.000
- electronic total energy (eV for the cell shown) = -20.0

Unit cell a=3.814 b=3.814 c=9.374 alpha=78.26 beta=78.26 gamma=60.00
Positions (direct):
Sm: 0.061 0.061 0.818
Sm: 0.272 0.272 0.183
Dy: 0.501 0.501 0.498
Ni: 0.666 0.666 0.002

***

DFT (PBE) results for an optimized crystal structure of PmPd4Pb4.

Results
- D(E_F) (states/eV per atom) = 0.480
- SG = I4/m (87)
- magnetic moment (μB per atom) = 0.000
- electronic total energy (eV for the cell shown) = -87.1

Unit cell a=4.622 b=9.753 c=9.753 alpha=90.00 beta=90.00 gamma=90.00
Positions (direct):
Pm: 0.000 0.000 0.000
Pm: 0.500 0.500 0.500
Pd: 0.500 0.923 0.190
Pd: 0.500 0.077 0.810
Pd: 0.000 0.690 0.577
Pd: 0.000 0.423 0.690
Pd: 0.000 0.577 0.310
Pd: 0.500 0.190 0.077
Pd: 0.500 0.810 0.923
Pd: 0.000 0.310 0.423
Pb: 0.500 0.369 0.853
Pb: 0.000 0.647 0.869
Pb: 0.500 0.631 0.147
Pb: 0.000 0.131 0.647
Pb: 0.500 0.853 0.631
Pb: 0.000 0.869 0.353
Pb: 0.000 0.353 0.131
Pb: 0.500 0.147 0.369

***

> Among the records above, which one has the lowest D(E_F)?

PmPd4Pb4